Density functional theory data (GGA-PBE) for a relaxed Zr3ScTl3Te8 crystal.

Formation energy from raw total energies (eV/atom): -0.77
Spin magnetization (μB per formula unit): 0.0
Fermi-level density of states (states/eV/atom): 0.4010

Lattice parameters (Å, degrees): 8.1925 8.1840 9.6964 114.87 90.00 120.03
Last column: nearest neighbours and their distance in Å.
Positions (direct):
Te 0.2657 0.0294 0.2930  2 Zr 2.94, 1 Sc 2.95
Te 0.2363 0.4726 0.7069  2 Zr 2.94, 1 Sc 2.95
Te 0.7343 0.9706 0.7070  2 Zr 2.94, 1 Sc 2.95
Te 0.7637 0.5274 0.2931  2 Zr 2.94, 1 Sc 2.95
Te 0.2363 0.9706 0.7070  2 Zr 2.94, 1 Sc 2.95
Te 0.2638 0.5276 0.2912  3 Zr 2.95
Te 0.7362 0.4724 0.7088  3 Zr 2.95
Te 0.7637 0.0294 0.2930  2 Zr 2.94, 1 Sc 2.95
Zr 0.0000 0.5000 0.5000  6 Te 2.94-2.95
Zr 0.5000 0.5000 0.5000  6 Te 2.94-2.95
Zr 0.5000 0.0000 0.5000  6 Te 2.94-2.95
Tl 0.5000 0.5000 0.0000  6 Te 3.42-3.43
Tl 0.0000 0.5000 0.0000  6 Te 3.42-3.43
Tl 0.0000 0.0000 0.0000  6 Te 3.42-3.43
Sc 0.0000 0.0000 0.5000  6 Te 2.95